Material: AlSeBr3N
Method: DFT, PBE
State: optimized geometry

The value obtained for the density of states at the Fermi level is 0.000 states/eV per atom. The calculation puts the density at 2.93 g/cm³. The value obtained for the volume is 203.6 Å³/f.u. The formation energy from raw total energies is -0.56 eV/atom.

It has space group P2_1/c (No. 14), with a = 7.6311 Å, b = 10.9643 Å, c = 10.5910 Å, α = 90.00°, β = 113.19° and γ = 90.00°. The inequivalent atoms are Al at (0.2320, 0.1196, 0.3489), Se at (0.1529, 0.5313, 0.1198), Br at (0.0530, 0.6542, 0.3414), Br at (0.3824, 0.2029, 0.9422), Br at (0.4135, 0.5252, 0.7949) and N at (0.1075, 0.0433, 0.4542).